No. 1
A plane-wave DFT calculation with PBE-GGA was carried out for a relaxed CsTe2Br crystal.

Values from the calculation:
* formation energy without anion corrections: 0.53 eV/f.u.
* total energy: -2.069 eV per atom
* energy above the lowest structure with this stoichiometry: 3.134 eV/f.u.

Lattice parameters (Å, degrees): 6.1924 6.1924 6.1924 60.00 60.00 60.00
Last column: nearest neighbours and their distance in Å.
Positions (direct):
Cs (0.5000, 0.5000, 0.5000)  8 Te 3.79
Te (0.2500, 0.2500, 0.2500)  4 Br 3.79, 4 Cs 3.79
Te (0.7500, 0.7500, 0.7500)  4 Cs 3.79, 4 Br 3.79
Br (0.0000, 0.0000, 0.0000)  8 Te 3.79

***

No. 2
A plane-wave DFT calculation with PBE-GGA was carried out for a relaxed Cs12Te3Br5 crystal.

Values from the calculation:
* formation energy without anion corrections: -25.68 eV/f.u.
* total energy: -2.685 eV per atom

Lattice parameters (Å, degrees): 18.7600 18.7600 18.7600 109.47 109.47 109.47
Last column: nearest neighbours and their distance in Å.
Positions (direct):
Te (0.7500, 0.3750, 0.1250)  8 Cs 4.00-4.01
Te (0.8750, 0.7500, 0.1250)  8 Cs 4.00-4.01
Te (0.3750, 0.7500, 0.6250)  8 Cs 4.00-4.01
Te (0.2500, 0.1250, 0.3750)  8 Cs 4.00-4.01
Te (0.8750, 0.1250, 0.2500)  8 Cs 4.00-4.01
Te (0.3750, 0.6250, 0.2500)  8 Cs 4.00-4.01
Te (0.6250, 0.3750, 0.7500)  8 Cs 4.00-4.01
Te (0.1250, 0.8750, 0.7500)  8 Cs 4.00-4.01
Te (0.7500, 0.8750, 0.6250)  8 Cs 4.00-4.01
Te (0.6250, 0.2500, 0.3750)  8 Cs 4.00-4.01
Te (0.1250, 0.2500, 0.8750)  8 Cs 4.00-4.01
Te (0.2500, 0.6250, 0.8750)  8 Cs 4.00-4.01
Br (0.1250, 0.3750, 0.2500)  4 Cs 3.45
Br (0.0000, 0.5000, 0.0000)  6 Cs 3.68
Br (0.0000, 0.0000, 0.0000)  6 Cs 3.68
Br (0.3750, 0.2500, 0.1250)  4 Cs 3.45
Br (0.5000, 0.0000, 0.5000)  6 Cs 3.68
Br (0.5000, 0.5000, 0.0000)  6 Cs 3.68
Br (0.1250, 0.7500, 0.3750)  4 Cs 3.45
Br (0.7500, 0.1250, 0.8750)  4 Cs 3.45
Br (0.7500, 0.6250, 0.3750)  4 Cs 3.45
Br (0.3750, 0.1250, 0.7500)  4 Cs 3.45
Br (0.6250, 0.8750, 0.2500)  4 Cs 3.45
Br (0.5000, 0.5000, 0.5000)  6 Cs 3.68
Br (0.5000, 0.0000, 0.0000)  6 Cs 3.68
Br (0.0000, 0.0000, 0.5000)  6 Cs 3.68
Br (0.2500, 0.3750, 0.6250)  4 Cs 3.45
Br (0.2500, 0.8750, 0.1250)  4 Cs 3.45
Br (0.0000, 0.5000, 0.5000)  6 Cs 3.68
Br (0.8750, 0.2500, 0.6250)  4 Cs 3.45
Br (0.6250, 0.7500, 0.8750)  4 Cs 3.45
Br (0.8750, 0.6250, 0.7500)  4 Cs 3.45
Cs (0.7230, 0.1367, 0.0508)  2 Br 3.45-3.68
Cs (0.3278, 0.5508, 0.4140)  2 Br 3.45-3.68
Cs (0.9492, 0.3633, 0.2770)  2 Br 3.45-3.68
Cs (0.5508, 0.2230, 0.1367)  2 Br 3.45-3.68
Cs (0.5862, 0.7230, 0.6722)  2 Br 3.45-3.68
Cs (0.9492, 0.5860, 0.1722)  2 Br 3.45-3.68
Cs (0.3278, 0.7770, 0.4138)  2 Br 3.45-3.68
Cs (0.0860, 0.9138, 0.1367)  2 Br 3.45-3.68
Cs (0.5860, 0.9492, 0.6722)  2 Br 3.45-3.68
Cs (0.7230, 0.5862, 0.1722)  2 Br 3.45-3.68
Cs (0.7770, 0.4492, 0.3633)  2 Br 3.45-3.68
Cs (0.8278, 0.9140, 0.0508)  2 Br 3.45-3.68
Cs (0.1367, 0.7230, 0.5508)  2 Br 3.45-3.68
Cs (0.3633, 0.4140, 0.0862)  2 Br 3.45-3.68
Cs (0.0862, 0.9140, 0.3633)  2 Br 3.45-3.68
Cs (0.4138, 0.1367, 0.5860)  2 Br 3.45-3.68
Cs (0.0862, 0.1722, 0.2230)  2 Br 3.45-3.68
Cs (0.4492, 0.6722, 0.0860)  2 Br 3.45-3.68
Cs (0.8278, 0.9138, 0.2770)  2 Br 3.45-3.68
Cs (0.1367, 0.4138, 0.0860)  2 Br 3.45-3.68
Cs (0.3633, 0.9492, 0.7770)  2 Br 3.45-3.68
Cs (0.5860, 0.6367, 0.4138)  2 Br 3.45-3.68
Cs (0.9140, 0.8278, 0.5508)  2 Br 3.45-3.68
Cs (0.7770, 0.3278, 0.9138)  2 Br 3.45-3.68
Cs (0.4140, 0.3633, 0.5862)  2 Br 3.45-3.68
Cs (0.0860, 0.1722, 0.4492)  2 Br 3.45-3.68
Cs (0.2230, 0.6722, 0.0862)  2 Br 3.45-3.68
Cs (0.1722, 0.0862, 0.7230)  2 Br 3.45-3.68
Cs (0.6367, 0.0508, 0.2230)  2 Br 3.45-3.68
Cs (0.8633, 0.5862, 0.9140)  2 Br 3.45-3.68
Cs (0.5508, 0.3278, 0.9140)  2 Br 3.45-3.68
Cs (0.5862, 0.8633, 0.4140)  2 Br 3.45-3.68
Cs (0.9138, 0.8278, 0.7770)  2 Br 3.45-3.68
Cs (0.9138, 0.0860, 0.6367)  2 Br 3.45-3.68
Cs (0.8633, 0.2770, 0.4492)  2 Br 3.45-3.68
Cs (0.1722, 0.0860, 0.9492)  2 Br 3.45-3.68
Cs (0.6367, 0.5860, 0.9138)  2 Br 3.45-3.68
Cs (0.4140, 0.0508, 0.3278)  2 Br 3.45-3.68
Cs (0.2770, 0.4138, 0.8278)  2 Br 3.45-3.68
Cs (0.2230, 0.5508, 0.6367)  2 Br 3.45-3.68
Cs (0.9140, 0.0862, 0.8633)  2 Br 3.45-3.68
Cs (0.6722, 0.2230, 0.5862)  2 Br 3.45-3.68
Cs (0.4492, 0.7770, 0.8633)  2 Br 3.45-3.68
Cs (0.0508, 0.4140, 0.8278)  2 Br 3.45-3.68
Cs (0.4138, 0.2770, 0.3278)  2 Br 3.45-3.68
Cs (0.0508, 0.6367, 0.7230)  2 Br 3.45-3.68
Cs (0.6722, 0.4492, 0.5860)  2 Br 3.45-3.68
Cs (0.2770, 0.8633, 0.9492)  2 Br 3.45-3.68

***

No. 3
A plane-wave DFT calculation with PBE-GGA was carried out for a relaxed Cs3TeBr crystal.

Values from the calculation:
* formation energy without anion corrections: -6.33 eV/f.u.
* total energy: -2.741 eV per atom
* energy above the lowest structure with this stoichiometry: 0.012 eV/f.u.

Lattice parameters (Å, degrees): 10.3506 10.1381 10.1381 82.33 90.04 90.04
Last column: nearest neighbours and their distance in Å.
Positions (direct):
Cs (0.5922, 0.8221, 0.0123)  2 Br 3.84-3.99, 3 Te 3.85-3.94, 2 Cs 4.06-4.13
Cs (0.9078, 0.9877, 0.1779)  2 Br 3.84-3.99, 3 Te 3.85-3.94, 2 Cs 4.06-4.13
Cs (0.4078, 0.1779, 0.9877)  2 Br 3.84-3.99, 3 Te 3.85-3.94, 2 Cs 4.06-4.13
Cs (0.0922, 0.0123, 0.8221)  2 Br 3.84-3.99, 3 Te 3.85-3.94, 2 Cs 4.06-4.13
Cs (0.8233, 0.4217, 0.0782)  3 Br 3.57-3.67, 2 Te 3.89-3.90
Cs (0.6767, 0.9218, 0.5783)  3 Br 3.57-3.67, 2 Te 3.89-3.90
Cs (0.1767, 0.5783, 0.9218)  3 Br 3.57-3.67, 2 Te 3.89-3.90
Cs (0.3233, 0.0782, 0.4217)  3 Br 3.57-3.67, 2 Te 3.89-3.90
Cs (0.5925, 0.4890, 0.6785)  2 Br 3.85-4.00, 3 Te 3.85-3.93, 2 Cs 4.07-4.15
Cs (0.9075, 0.3215, 0.5110)  2 Br 3.85-4.00, 3 Te 3.85-3.93, 2 Cs 4.07-4.15
Cs (0.4075, 0.5110, 0.3215)  2 Br 3.85-4.00, 3 Te 3.85-3.93, 2 Cs 4.07-4.15
Cs (0.0925, 0.6785, 0.4890)  2 Br 3.85-4.00, 3 Te 3.85-3.93, 2 Cs 4.07-4.15
Te (0.2500, 0.8434, 0.1566)  8 Cs 3.85-3.94
Te (0.7500, 0.1566, 0.8434)  8 Cs 3.85-3.94
Te (0.2500, 0.3442, 0.6558)  8 Cs 3.85-3.93
Te (0.7500, 0.6558, 0.3442)  8 Cs 3.85-3.93
Br (0.8663, 0.6956, 0.8062)  6 Cs 3.57-3.99
Br (0.6337, 0.1938, 0.3044)  6 Cs 3.57-3.99
Br (0.1337, 0.3044, 0.1938)  6 Cs 3.57-3.99
Br (0.3663, 0.8062, 0.6956)  6 Cs 3.57-3.99

***

No. 4
A plane-wave DFT calculation with PBE-GGA was carried out for a relaxed CsTeBr4 crystal.

Values from the calculation:
* formation energy without anion corrections: -4.86 eV/f.u.
* total energy: -2.592 eV per atom
* energy above the lowest structure with this stoichiometry: 0.000 eV/f.u.

Lattice parameters (Å, degrees): 6.3506 7.8573 10.4542 112.07 104.40 90.00
Last column: nearest neighbours and their distance in Å.
Positions (direct):
Cs (0.2014, 0.1963, 0.3927)  10 Br 3.73-4.17
Cs (0.7986, 0.8037, 0.6073)  10 Br 3.73-4.17
Te (0.6471, 0.4416, 0.8831)  2 Br 2.62
Te (0.3529, 0.5584, 0.1169)  2 Br 2.62
Br (0.7900, 0.3021, 0.6043)  1 Te 3.07
Br (0.6048, 0.3683, 0.2393)  1 Te 2.62
Br (0.0000, 0.2567, 0.0000)  2 Te 2.93
Br (0.3952, 0.1290, 0.7607)  1 Te 2.62
Br (0.2100, 0.6979, 0.3957)  1 Te 3.07
Br (0.3952, 0.6317, 0.7607)  1 Te 2.62
Br (0.0000, 0.7433, 0.0000)  2 Te 2.93
Br (0.6048, 0.8710, 0.2393)  1 Te 2.62

***

No. 5
A plane-wave DFT calculation with PBE-GGA was carried out for a relaxed CsTe2Br crystal.

Values from the calculation:
* formation energy without anion corrections: -2.60 eV/f.u.
* total energy: -2.853 eV per atom
* energy above the lowest structure with this stoichiometry: 0.000 eV/f.u.

Lattice parameters (Å, degrees): 4.9530 4.9530 17.7414 81.98 81.98 90.00
Last column: nearest neighbours and their distance in Å.
Positions (direct):
Cs (0.0000, 0.0000, 0.0000)  4 Br 3.50
Cs (0.7500, 0.2500, 0.5000)  4 Br 3.50
Te (0.2425, 0.1250, 0.2500)  2 Te 2.80
Te (0.5075, 0.6250, 0.2500)  2 Te 2.80
Te (0.3750, 0.7575, 0.7500)  2 Te 2.80
Te (0.8750, 0.4925, 0.7500)  2 Te 2.80
Br (0.5000, 0.5000, 0.0000)  4 Cs 3.50
Br (0.2500, 0.7500, 0.5000)  4 Cs 3.50

***

No. 6
A plane-wave DFT calculation with PBE-GGA was carried out for a relaxed Cs2TeBr crystal.

Values from the calculation:
* formation energy without anion corrections: -4.18 eV/f.u.
* total energy: -2.676 eV per atom
* energy above the lowest structure with this stoichiometry: 0.932 eV/f.u.

Lattice parameters (Å, degrees): 6.4366 6.4366 6.4366 60.00 60.00 60.00
Last column: nearest neighbours and their distance in Å.
Positions (direct):
Cs (0.2500, 0.2500, 0.2500)  4 Te 3.94, 4 Br 3.94
Cs (0.7500, 0.7500, 0.7500)  4 Te 3.94, 4 Br 3.94
Te (0.5000, 0.5000, 0.5000)  8 Cs 3.94
Br (0.0000, 0.0000, 0.0000)  8 Cs 3.94

***

No. 7
A plane-wave DFT calculation with PBE-GGA was carried out for a relaxed Cs3TeBr crystal.

Values from the calculation:
* formation energy without anion corrections: -5.56 eV/f.u.
* total energy: -2.586 eV per atom
* energy above the lowest structure with this stoichiometry: 0.785 eV/f.u.

Lattice parameters (Å, degrees): 6.7024 6.7024 6.7024 90.00 90.00 90.00
Last column: nearest neighbours and their distance in Å.
Positions (direct):
Cs (0.0000, 0.5000, 0.0000)  2 Br 3.35
Cs (0.0000, 0.0000, 0.5000)  2 Br 3.35
Cs (0.5000, 0.0000, 0.0000)  2 Br 3.35
Te (0.5000, 0.5000, 0.5000)  12 Cs 4.74
Br (0.0000, 0.0000, 0.0000)  6 Cs 3.35

***

No. 8
A plane-wave DFT calculation with PBE-GGA was carried out for a relaxed Cs2TeBr2 crystal.

Values from the calculation:
* formation energy without anion corrections: -4.29 eV/f.u.
* total energy: -2.497 eV per atom

Lattice parameters (Å, degrees): 6.5891 6.5891 8.4012 66.91 66.91 90.00
Last column: nearest neighbours and their distance in Å.
Positions (direct):
Cs (0.3364, 0.3364, 0.3272)  4 Br 3.51
Cs (0.6636, 0.6636, 0.6728)  4 Br 3.51
Te (0.0000, 0.0000, 0.0000)  10 Cs 4.70-5.19, 8 Br 4.80
Br (0.7500, 0.2500, 0.5000)  4 Cs 3.51
Br (0.2500, 0.7500, 0.5000)  4 Cs 3.51

***

No. 9
A plane-wave DFT calculation with PBE-GGA was carried out for a relaxed CsTeBr4 crystal.

Values from the calculation:
* formation energy without anion corrections: -4.85 eV/f.u.
* total energy: -2.590 eV per atom
* energy above the lowest structure with this stoichiometry: 0.014 eV/f.u.

Lattice parameters (Å, degrees): 8.2117 8.9073 9.0080 111.44 108.42 106.42
Last column: nearest neighbours and their distance in Å.
Positions (direct):
Cs (0.3751, 0.6251, 0.2501)  8 Br 3.64-3.96
Cs (0.6249, 0.3749, 0.7499)  8 Br 3.64-3.96
Te (0.8403, 0.0903, 0.1807)  4 Br 2.69-2.74
Te (0.1597, 0.9097, 0.8193)  4 Br 2.69-2.74
Br (0.2348, 0.9300, 0.5550)  1 Te 2.70
Br (0.0877, 0.8475, 0.0742)  1 Te 2.74
Br (0.1798, 0.3750, 0.4450)  1 Te 2.69
Br (0.5136, 0.7733, 0.9258)  1 Te 2.74
Br (0.7652, 0.0700, 0.4450)  1 Te 2.70
Br (0.8202, 0.6250, 0.5550)  1 Te 2.69
Br (0.9123, 0.1525, 0.9258)  1 Te 2.74
Br (0.4864, 0.2267, 0.0742)  1 Te 2.74

***

No. 10
A plane-wave DFT calculation with PBE-GGA was carried out for a relaxed CsTe2Br6 crystal.

Values from the calculation:
* formation energy without anion corrections: -5.48 eV/f.u.
* total energy: -2.517 eV per atom

Lattice parameters (Å, degrees): 7.9048 10.3725 10.3725 81.85 88.62 88.62
Last column: nearest neighbours and their distance in Å.
Positions (direct):
Cs (0.2500, 0.1743, 0.8257)  8 Br 3.64-3.99
Cs (0.7500, 0.8257, 0.1743)  8 Br 3.64-3.99
Te (0.2001, 0.6487, 0.8395)  2 Br 2.60
Te (0.2999, 0.1605, 0.3513)  2 Br 2.60
Te (0.7999, 0.3513, 0.1605)  2 Br 2.60
Te (0.7001, 0.8395, 0.6487)  2 Br 2.60
Br (0.4633, 0.8139, 0.4846)  1 Te 2.60
Br (0.0367, 0.5154, 0.1861)  1 Te 2.60
Br (0.5367, 0.1861, 0.5154)  1 Te 2.60
Br (0.9633, 0.4846, 0.8139)  1 Te 2.60
Br (0.9519, 0.8098, 0.4885)  1 Te 2.60
Br (0.5481, 0.5115, 0.1902)  1 Te 2.60
Br (0.0481, 0.1902, 0.5115)  1 Te 2.60
Br (0.4519, 0.4885, 0.8098)  1 Te 2.60
Br (0.4512, 0.8485, 0.8664)  2 Te 2.95-2.97
Br (0.0488, 0.1336, 0.1515)  2 Te 2.95-2.97
Br (0.5488, 0.1515, 0.1336)  2 Te 2.95-2.97
Br (0.9512, 0.8664, 0.8485)  2 Te 2.95-2.97

***

No. 11
A plane-wave DFT calculation with PBE-GGA was carried out for a relaxed CsTlTeBr6 crystal.

Values from the calculation:
* formation energy without anion corrections: -7.24 eV/f.u.
* total energy: -2.627 eV per atom

Lattice parameters (Å, degrees): 8.1480 8.1481 7.4946 90.00 90.00 60.00
Last column: nearest neighbours and their distance in Å.
Positions (direct):
Cs (0.0000, 0.0000, 0.0000)  6 Br 3.71
Tl (0.6666, 0.6667, 0.5000)  6 Br 3.36
Te (0.3333, 0.3333, 0.5000)  6 Br 2.75
Br (0.0564, 0.3409, 0.2856)  1 Te 2.75
Br (0.3409, 0.0564, 0.7144)  1 Te 2.75
Br (0.6026, 0.3409, 0.7144)  1 Te 2.75
Br (0.0564, 0.6027, 0.7144)  1 Te 2.75
Br (0.3409, 0.6027, 0.2856)  1 Te 2.75
Br (0.6027, 0.0564, 0.2856)  1 Te 2.75

***

No. 12
A plane-wave DFT calculation with PBE-GGA was carried out for a relaxed CsTl2TeBr crystal.

Values from the calculation:
* formation energy without anion corrections: -4.04 eV/f.u.
* total energy: -2.888 eV per atom

Lattice parameters (Å, degrees): 4.8715 10.2838 8.6639 92.27 90.00 90.00
Last column: nearest neighbours and their distance in Å.
Positions (direct):
Cs (0.7500, 0.2806, 0.0144)  3 Br 3.60-3.62, 2 Te 3.95
Cs (0.2500, 0.7194, 0.9856)  3 Br 3.60-3.62, 2 Te 3.95
Tl (0.2500, 0.6939, 0.4850)  1 Br 3.12, 2 Te 3.42
Tl (0.2500, 0.0740, 0.3215)  3 Te 3.24-3.26
Tl (0.7500, 0.9260, 0.6785)  3 Te 3.24-3.26
Tl (0.7500, 0.3061, 0.5150)  1 Br 3.12, 2 Te 3.42
Te (0.7500, 0.8660, 0.3061)  5 Tl 3.24-3.42
Te (0.2500, 0.1340, 0.6939)  5 Tl 3.24-3.42
Br (0.7500, 0.5427, 0.7508)  1 Tl 3.12
Br (0.2500, 0.4573, 0.2492)  1 Tl 3.12